# 1
# meta-GGA SCAN TiSi2Pd, single point on PBEsol structure
data_TiSi2Pd
_chemical_formula_sum 'Ti2 Si4 Pd2'
_cell_length_a 3.849
_cell_length_b 3.849
_cell_length_c 8.947
_cell_angle_alpha 102.42
_cell_angle_beta 102.42
_cell_angle_gamma 90.00
_space_group_name_H-M_alt 'P 1'
_space_group_IT_number 1
loop_
_space_group_symop_operation_xyz
'x,y,z'
loop_
_atom_site_label
_atom_site_fract_x
_atom_site_fract_y
_atom_site_fract_z
Si1 0.355 0.875 0.250
Si2 0.895 0.375 0.250
Si3 0.125 0.105 0.750
Si4 0.625 0.645 0.750
Pd1 0.250 0.750 0.500
Pd2 0.000 0.000 0.000
Ti1 0.750 0.250 0.500
Ti2 0.500 0.500 0.000
# * formation energy without anion corrections: -0.16 eV per atom
# * uncorrected energy: -17.3645 eV per atom

***

# 2
# meta-GGA SCAN In3Pb, single point on PBEsol structure
data_In3Pb
_chemical_formula_sum 'In3 Pb1'
_cell_length_a 3.302
_cell_length_b 5.604
_cell_length_c 5.740
_cell_angle_alpha 90.00
_cell_angle_beta 90.00
_cell_angle_gamma 90.00
_space_group_name_H-M_alt 'P 1'
_space_group_IT_number 1
loop_
_space_group_symop_operation_xyz
'x,y,z'
loop_
_atom_site_label
_atom_site_fract_x
_atom_site_fract_y
_atom_site_fract_z
Pb1 0.000 0.500 0.332
In1 0.000 0.000 0.998
In2 0.500 0.000 0.503
In3 0.500 0.500 0.834
# * uncorrected energy: -43.9005 eV per atom
# * formation enthalpy at 0 K: 0.085 eV/atom

***

# 3
# meta-GGA SCAN ScNi2Mo, single point on PBEsol structure
data_ScNi2Mo
_chemical_formula_sum 'Sc1 Ni2 Mo1'
_cell_length_a 3.670
_cell_length_b 3.670
_cell_length_c 4.826
_cell_angle_alpha 112.35
_cell_angle_beta 112.35
_cell_angle_gamma 90.00
_space_group_name_H-M_alt 'P 1'
_space_group_IT_number 1
loop_
_space_group_symop_operation_xyz
'x,y,z'
loop_
_atom_site_label
_atom_site_fract_x
_atom_site_fract_y
_atom_site_fract_z
Mo1 0.250 0.750 0.500
Ni1 0.000 0.000 0.000
Ni2 0.750 0.250 0.500
Sc1 0.500 0.500 0.000
# * uncorrected energy: -20.2960 eV per atom
# * polymorph energy (0 for the lowest one): 41.7 meV/atom
# * formation enthalpy at 0 K: 0.071 eV/atom

***

# 4
# meta-GGA SCAN As3P3Pb10Cl2O24, single point on PBEsol structure
data_As3P3Pb10Cl2O24
_chemical_formula_sum 'As3 P3 Pb10 Cl2 O24'
_cell_length_a 7.289
_cell_length_b 10.147
_cell_length_c 10.147
_cell_angle_alpha 120.00
_cell_angle_beta 90.00
_cell_angle_gamma 90.00
_space_group_name_H-M_alt 'P 1'
_space_group_IT_number 1
loop_
_space_group_symop_operation_xyz
'x,y,z'
loop_
_atom_site_label
_atom_site_fract_x
_atom_site_fract_y
_atom_site_fract_z
As1 0.500 0.594 0.970
As2 0.500 0.030 0.624
As3 0.500 0.376 0.406
P1 0.000 0.413 0.031
P2 0.000 0.969 0.382
P3 0.000 0.618 0.587
Pb1 0.759 0.333 0.667
Pb2 0.250 0.667 0.333
Pb3 0.750 0.667 0.333
Pb4 0.241 0.333 0.667
Pb5 0.000 0.255 0.237
Pb6 0.000 0.763 0.018
Pb7 0.000 0.982 0.745
Pb8 0.500 0.747 0.754
Pb9 0.500 0.246 0.993
Pb10 0.500 0.007 0.253
Cl1 0.748 0.000 0.000
Cl2 0.252 0.000 0.000
O1 0.000 0.592 0.115
O2 0.000 0.885 0.477
O3 0.000 0.523 0.408
O4 0.500 0.397 0.877
O5 0.500 0.123 0.521
O6 0.500 0.479 0.603
O7 0.828 0.364 0.088
O8 0.828 0.912 0.276
O9 0.828 0.724 0.636
O10 0.313 0.644 0.902
O11 0.313 0.098 0.742
O12 0.313 0.258 0.356
O13 0.687 0.644 0.902
O14 0.687 0.098 0.742
O15 0.687 0.258 0.356
O16 0.172 0.364 0.088
O17 0.172 0.912 0.276
O18 0.172 0.724 0.636
O19 0.000 0.346 0.857
O20 0.000 0.143 0.489
O21 0.000 0.511 0.654
O22 0.500 0.673 0.163
O23 0.500 0.837 0.510
O24 0.500 0.490 0.327
# * formation energy without anion corrections: -1.72 eV per atom
# * uncorrected energy: -25.8928 eV per atom

***

# 5
# meta-GGA SCAN NaGaPbC2, single point on PBEsol structure
data_NaGaPbC2
_chemical_formula_sum 'Na1 Ga1 Pb1 C2'
_cell_length_a 4.389
_cell_length_b 4.389
_cell_length_c 5.193
_cell_angle_alpha 90.00
_cell_angle_beta 90.00
_cell_angle_gamma 90.00
_space_group_name_H-M_alt 'P 1'
_space_group_IT_number 1
loop_
_space_group_symop_operation_xyz
'x,y,z'
loop_
_atom_site_label
_atom_site_fract_x
_atom_site_fract_y
_atom_site_fract_z
Pb1 0.000 0.000 0.500
Na1 0.000 0.000 0.000
C1 0.000 0.500 0.000
C2 0.500 0.000 0.000
Ga1 0.500 0.500 0.500
# * uncorrected energy: -20.6824 eV per atom
# * formation enthalpy at 0 K: 2.626 eV/atom

***

# 6
# meta-GGA SCAN BaZr2Fe, single point on PBEsol structure
data_BaZr2Fe
_chemical_formula_sum 'Ba1 Zr2 Fe1'
_cell_length_a 5.035
_cell_length_b 5.035
_cell_length_c 5.035
_cell_angle_alpha 60.00
_cell_angle_beta 60.00
_cell_angle_gamma 60.00
_space_group_name_H-M_alt 'P 1'
_space_group_IT_number 1
loop_
_space_group_symop_operation_xyz
'x,y,z'
loop_
_atom_site_label
_atom_site_fract_x
_atom_site_fract_y
_atom_site_fract_z
Ba1 0.500 0.500 0.500
Fe1 0.250 0.250 0.250
Zr1 0.000 0.000 0.000
Zr2 0.750 0.750 0.750
# * uncorrected energy: -28.8805 eV per atom
# * polymorph energy (0 for the lowest one): 628.7 meV/atom
# * formation enthalpy at 0 K: 0.889 eV/atom

***

# 7
# meta-GGA SCAN Mo2AsP, single point on PBEsol structure
data_Mo2AsP
_chemical_formula_sum 'Mo2 As1 P1'
_cell_length_a 3.132
_cell_length_b 4.413
_cell_length_c 4.591
_cell_angle_alpha 105.03
_cell_angle_beta 109.94
_cell_angle_gamma 90.00
_space_group_name_H-M_alt 'P 1'
_space_group_IT_number 1
loop_
_space_group_symop_operation_xyz
'x,y,z'
loop_
_atom_site_label
_atom_site_fract_x
_atom_site_fract_y
_atom_site_fract_z
As1 0.252 0.796 0.504
Mo1 0.992 0.941 0.985
Mo2 0.761 0.319 0.523
P1 0.494 0.445 0.989
# * uncorrected energy: -25.3282 eV per atom
# * polymorph energy (0 for the lowest one): 179.7 meV/atom
# * formation enthalpy at 0 K: -0.238 eV/atom

***

# 8
# meta-GGA SCAN MgAg2, single point on PBEsol structure
data_MgAg2
_chemical_formula_sum 'Mg2 Ag4'
_cell_length_a 4.975
_cell_length_b 4.975
_cell_length_c 5.487
_cell_angle_alpha 94.69
_cell_angle_beta 112.45
_cell_angle_gamma 119.26
_space_group_name_H-M_alt 'P 1'
_space_group_IT_number 1
loop_
_space_group_symop_operation_xyz
'x,y,z'
loop_
_atom_site_label
_atom_site_fract_x
_atom_site_fract_y
_atom_site_fract_z
Mg1 0.855 0.105 0.750
Mg2 0.145 0.895 0.250
Ag1 0.508 0.427 0.745
Ag2 0.492 0.573 0.255
Ag3 0.817 0.237 0.245
Ag4 0.183 0.763 0.755
# * uncorrected energy: -22.7494 eV per atom
# * polymorph energy (0 for the lowest one): 5.8 meV/atom
# * formation enthalpy at 0 K: -0.180 eV/atom

***

# 9
# meta-GGA SCAN Cu5Se2Cl2O8, single point on PBEsol structure
data_Cu5Se2Cl2O8
_chemical_formula_sum 'Cu10 Se4 Cl4 O16'
_cell_length_a 5.579
_cell_length_b 6.028
_cell_length_c 13.489
_cell_angle_alpha 90.00
_cell_angle_beta 90.00
_cell_angle_gamma 95.17
_space_group_name_H-M_alt 'P 1'
_space_group_IT_number 1
loop_
_space_group_symop_operation_xyz
'x,y,z'
loop_
_atom_site_label
_atom_site_fract_x
_atom_site_fract_y
_atom_site_fract_z
Cu1 0.509 0.743 0.002
Cu2 0.049 0.432 0.311
Cu3 0.951 0.568 0.689
Cu4 0.500 0.500 0.500
Cu5 0.549 0.432 0.189
Cu6 0.451 0.568 0.811
Cu7 0.009 0.743 0.498
Cu8 0.491 0.257 0.998
Cu9 0.000 0.500 0.000
Cu10 0.991 0.257 0.502
Se1 0.596 0.941 0.637
Se2 0.904 0.059 0.137
Se3 0.096 0.941 0.863
Se4 0.404 0.059 0.363
Cl1 0.236 0.327 0.676
Cl2 0.736 0.327 0.824
Cl3 0.764 0.673 0.324
Cl4 0.264 0.673 0.176
O1 0.424 0.773 0.556
O2 0.182 0.506 0.441
O3 0.630 0.022 0.073
O4 0.682 0.506 0.059
O5 0.313 0.247 0.275
O6 0.076 0.227 0.056
O7 0.576 0.227 0.444
O8 0.818 0.494 0.559
O9 0.870 0.978 0.573
O10 0.187 0.753 0.775
O11 0.687 0.753 0.725
O12 0.318 0.494 0.941
O13 0.813 0.247 0.225
O14 0.924 0.773 0.944
O15 0.130 0.022 0.427
O16 0.370 0.978 0.927
# * formation energy without anion corrections: -0.83 eV per atom
# * uncorrected energy: -11.5315 eV per atom

***

# 10
# meta-GGA SCAN Er2As7Rh12, single point on PBEsol structure
data_Er2As7Rh12
_chemical_formula_sum 'Er2 As7 Rh12'
_cell_length_a 3.847
_cell_length_b 9.833
_cell_length_c 9.833
_cell_angle_alpha 120.00
_cell_angle_beta 90.00
_cell_angle_gamma 90.00
_space_group_name_H-M_alt 'P 1'
_space_group_IT_number 1
loop_
_space_group_symop_operation_xyz
'x,y,z'
loop_
_atom_site_label
_atom_site_fract_x
_atom_site_fract_y
_atom_site_fract_z
Er1 0.241 0.000 0.000
Er2 0.749 0.333 0.667
As1 0.496 0.667 0.333
As2 0.245 0.379 0.927
As3 0.245 0.548 0.621
As4 0.245 0.073 0.452
As5 0.745 0.955 0.740
As6 0.745 0.785 0.045
As7 0.745 0.260 0.215
Rh1 0.246 0.601 0.886
Rh2 0.246 0.285 0.399
Rh3 0.246 0.114 0.715
Rh4 0.744 0.733 0.781
Rh5 0.744 0.048 0.267
Rh6 0.744 0.219 0.952
Rh7 0.240 0.403 0.184
Rh8 0.240 0.781 0.597
Rh9 0.240 0.816 0.219
Rh10 0.750 0.930 0.482
Rh11 0.750 0.552 0.070
Rh12 0.750 0.518 0.448
# * uncorrected energy: -31.6595 eV per atom
# * formation enthalpy at 0 K: -0.837 eV/atom

***

# 11
# meta-GGA SCAN BeRuO2F, single point on PBEsol structure
data_BeRuO2F
_chemical_formula_sum 'Be1 Ru1 O2 F1'
_cell_length_a 3.064
_cell_length_b 3.669
_cell_length_c 3.669
_cell_angle_alpha 90.00
_cell_angle_beta 90.00
_cell_angle_gamma 90.00
_space_group_name_H-M_alt 'P 1'
_space_group_IT_number 1
loop_
_space_group_symop_operation_xyz
'x,y,z'
loop_
_atom_site_label
_atom_site_fract_x
_atom_site_fract_y
_atom_site_fract_z
Ru1 0.500 0.500 0.500
Be1 0.000 0.000 0.000
O1 0.000 0.000 0.500
O2 0.000 0.500 0.000
F1 0.500 0.000 0.000
# * formation energy without anion corrections: -1.15 eV per atom
# * uncorrected energy: -12.1904 eV per atom

***

# 12
# meta-GGA SCAN Tl2HgBPb, single point on PBEsol structure
data_Tl2HgBPb
_chemical_formula_sum 'Tl2 Hg1 B1 Pb1'
_cell_length_a 5.486
_cell_length_b 5.486
_cell_length_c 5.725
_cell_angle_alpha 90.00
_cell_angle_beta 90.00
_cell_angle_gamma 90.00
_space_group_name_H-M_alt 'P 1'
_space_group_IT_number 1
loop_
_space_group_symop_operation_xyz
'x,y,z'
loop_
_atom_site_label
_atom_site_fract_x
_atom_site_fract_y
_atom_site_fract_z
Pb1 0.000 0.000 0.500
Tl1 0.000 0.500 0.000
Tl2 0.500 0.000 0.000
B1 0.500 0.500 0.500
Hg1 0.000 0.000 0.000
# * uncorrected energy: -57.8543 eV per atom
# * formation enthalpy at 0 K: 1.364 eV/atom

***

# 13
# meta-GGA SCAN ScNi3H, single point on PBEsol structure
data_ScNi3H
_chemical_formula_sum 'Sc1 Ni3 H1'
_cell_length_a 3.693
_cell_length_b 3.693
_cell_length_c 3.693
_cell_angle_alpha 90.00
_cell_angle_beta 90.00
_cell_angle_gamma 90.00
_space_group_name_H-M_alt 'P 1'
_space_group_IT_number 1
loop_
_space_group_symop_operation_xyz
'x,y,z'
loop_
_atom_site_label
_atom_site_fract_x
_atom_site_fract_y
_atom_site_fract_z
Sc1 0.500 0.500 0.500
Ni1 0.000 0.500 0.000
Ni2 0.000 0.000 0.500
Ni3 0.500 0.000 0.000
H1 0.000 0.000 0.000
# * uncorrected energy: -13.6086 eV per atom
# * polymorph energy (0 for the lowest one): 45.6 meV/atom

***

# 14
# meta-GGA SCAN Be2FeIrI, single point on PBEsol structure
data_Be2FeIrI
_chemical_formula_sum 'Be2 Fe1 Ir1 I1'
_cell_length_a 4.153
_cell_length_b 4.153
_cell_length_c 5.457
_cell_angle_alpha 90.00
_cell_angle_beta 90.00
_cell_angle_gamma 90.00
_space_group_name_H-M_alt 'P 1'
_space_group_IT_number 1
loop_
_space_group_symop_operation_xyz
'x,y,z'
loop_
_atom_site_label
_atom_site_fract_x
_atom_site_fract_y
_atom_site_fract_z
I1 0.000 0.000 0.500
Be1 0.000 0.500 0.000
Be2 0.500 0.000 0.000
Ir1 0.000 0.000 0.000
Fe1 0.500 0.500 0.500
# * formation energy without anion corrections: 0.85 eV per atom
# * uncorrected energy: -26.0857 eV per atom

***

# 15
# meta-GGA SCAN KBa2Hg2, single point on PBEsol structure
data_KBa2Hg2
_chemical_formula_sum 'K2 Ba4 Hg4'
_cell_length_a 4.357
_cell_length_b 9.467
_cell_length_c 9.467
_cell_angle_alpha 90.00
_cell_angle_beta 90.00
_cell_angle_gamma 90.00
_space_group_name_H-M_alt 'P 1'
_space_group_IT_number 1
loop_
_space_group_symop_operation_xyz
'x,y,z'
loop_
_atom_site_label
_atom_site_fract_x
_atom_site_fract_y
_atom_site_fract_z
K1 0.000 0.000 0.000
K2 0.000 0.500 0.500
Hg1 0.000 0.361 0.861
Hg2 0.000 0.861 0.639
Hg3 0.000 0.639 0.139
Hg4 0.000 0.139 0.361
Ba1 0.500 0.151 0.651
Ba2 0.500 0.651 0.849
Ba3 0.500 0.849 0.349
Ba4 0.500 0.349 0.151
# * uncorrected energy: -45.2279 eV per atom
# * formation enthalpy at 0 K: -0.476 eV/atom

***

# 16
# meta-GGA SCAN YBe2Rh2, single point on PBEsol structure
data_YBe2Rh2
_chemical_formula_sum 'Y1 Be2 Rh2'
_cell_length_a 3.882
_cell_length_b 3.882
_cell_length_c 5.501
_cell_angle_alpha 110.66
_cell_angle_beta 110.66
_cell_angle_gamma 90.00
_space_group_name_H-M_alt 'P 1'
_space_group_IT_number 1
loop_
_space_group_symop_operation_xyz
'x,y,z'
loop_
_atom_site_label
_atom_site_fract_x
_atom_site_fract_y
_atom_site_fract_z
Y1 0.000 0.000 0.000
Be1 0.250 0.750 0.500
Be2 0.750 0.250 0.500
Rh1 0.363 0.363 0.726
Rh2 0.637 0.637 0.274
# * uncorrected energy: -21.5645 eV per atom
# * formation enthalpy at 0 K: -0.746 eV/atom

***

# 17
# meta-GGA SCAN Mn2ZnPt, single point on PBEsol structure
data_Mn2ZnPt
_chemical_formula_sum 'Mn2 Zn1 Pt1'
_cell_length_a 3.710
_cell_length_b 3.710
_cell_length_c 4.488
_cell_angle_alpha 114.41
_cell_angle_beta 114.41
_cell_angle_gamma 90.00
_space_group_name_H-M_alt 'P 1'
_space_group_IT_number 1
loop_
_space_group_symop_operation_xyz
'x,y,z'
loop_
_atom_site_label
_atom_site_fract_x
_atom_site_fract_y
_atom_site_fract_z
Mn1 0.000 0.000 0.000
Mn2 0.750 0.250 0.500
Pt1 0.500 0.500 0.000
Zn1 0.250 0.750 0.500
# * uncorrected energy: -30.3985 eV per atom
# * formation enthalpy at 0 K: -0.344 eV/atom

***

# 18
# meta-GGA SCAN OsRu, single point on PBEsol structure
data_OsRu
_chemical_formula_sum 'Os2 Ru2'
_cell_length_a 2.709
_cell_length_b 4.691
_cell_length_c 5.068
_cell_angle_alpha 117.57
_cell_angle_beta 105.50
_cell_angle_gamma 90.00
_space_group_name_H-M_alt 'P 1'
_space_group_IT_number 1
loop_
_space_group_symop_operation_xyz
'x,y,z'
loop_
_atom_site_label
_atom_site_fract_x
_atom_site_fract_y
_atom_site_fract_z
Ru1 0.876 0.542 0.751
Ru2 0.124 0.458 0.249
Os1 0.375 0.041 0.749
Os2 0.625 0.959 0.251
# * uncorrected energy: -53.3685 eV per atom
# * formation enthalpy at 0 K: -0.015 eV/atom

***

# 19
# meta-GGA SCAN K2LaPt, single point on PBEsol structure
data_K2LaPt
_chemical_formula_sum 'K2 La1 Pt1'
_cell_length_a 4.237
_cell_length_b 4.244
_cell_length_c 11.434
_cell_angle_alpha 100.02
_cell_angle_beta 90.00
_cell_angle_gamma 119.95
_space_group_name_H-M_alt 'P 1'
_space_group_IT_number 1
loop_
_space_group_symop_operation_xyz
'x,y,z'
loop_
_atom_site_label
_atom_site_fract_x
_atom_site_fract_y
_atom_site_fract_z
K1 0.966 0.932 0.912
K2 0.759 0.519 0.269
La1 0.535 0.070 0.600
Pt1 0.239 0.479 0.720
# * uncorrected energy: -32.8994 eV per atom
# * polymorph energy (0 for the lowest one): 0.0 meV/atom
# * formation enthalpy at 0 K: -0.411 eV/atom